Record 1
This record from Alexandria via LeMat-Bulk describes MnPtBr2 at its PBEsol-relaxed geometry. The functional is meta-GGA SCAN.

Cell lengths 6.713, 6.713, 6.713 Å; angles 90.00, 90.00, 90.00 degrees
Space group F-43m (No. 216)
Inequivalent atoms, fractional coordinates:
1 Mn 0.000 0.000 0.000 [4 per cell]
2 Pt 0.250 0.250 0.750 [4 per cell]
3 Br 0.000 0.000 0.500 [4 per cell]
4 Br 0.250 0.250 0.250 [4 per cell]

Computed properties:
E_form (uncorrected)   1.57 eV per formula unit
N(E_F)   8.24 states/eV per cell
Raw total energy   -31.450 eV/atom

---

Record 2
This record from Alexandria via LeMat-Bulk describes RbMnBr3 at its PBEsol-relaxed geometry. The functional is meta-GGA SCAN.

Cell lengths 7.3970, 7.3970, 6.3677 Å; angles 90.00, 90.00, 120.00 degrees
Space group P6_3/mmc (No. 194)
Inequivalent atoms, fractional coordinates:
1 Rb 0.3333 0.6667 0.2500 [2 per cell]
2 Mn 0.0000 0.0000 0.0000 [2 per cell]
3 Br 0.1651 0.3302 0.7500 [6 per cell]

Computed properties:
E_form (uncorrected)   -5.69 eV per formula unit
Raw total energy   -20.612 eV/atom

---

Record 3
This record from Alexandria via LeMat-Bulk describes Rb3MnBr5 at its PBEsol-relaxed geometry. The functional is meta-GGA SCAN.

Cell lengths 9.125, 9.125, 14.929 Å; angles 90.00, 90.00, 90.00 degrees
Space group I4/mcm (No. 140)
Inequivalent atoms, fractional coordinates:
1 Rb 0.000 0.000 0.250 [4 per cell]
2 Rb 0.157 0.343 0.000 [8 per cell]
3 Mn 0.000 0.500 0.250 [4 per cell]
4 Br 0.000 0.000 0.000 [4 per cell]
5 Br 0.150 0.350 0.350 [16 per cell]

Computed properties:
E_form (uncorrected)   -15.56 eV per formula unit
N(E_F)   0.00 states/eV per cell
Raw total energy   -21.481 eV/atom

---

Record 4
This record from Alexandria via LeMat-Bulk describes RbMnSeBr2 at its PBEsol-relaxed geometry. The functional is meta-GGA SCAN.

Cell lengths 5.278, 5.278, 4.829 Å; angles 90.00, 90.00, 90.00 degrees
Space group P4/mmm (No. 123)
Inequivalent atoms, fractional coordinates:
1 Rb 0.000 0.000 0.000 [1 per cell]
2 Mn 0.500 0.500 0.500 [1 per cell]
3 Se 0.500 0.500 0.000 [1 per cell]
4 Br 0.000 0.500 0.500 [2 per cell]

Computed properties:
E_form (uncorrected)   -5.73 eV per formula unit
N(E_F)   3.27 states/eV per cell
Raw total energy   -20.745 eV/atom

---

Record 5
This record from Alexandria via LeMat-Bulk describes RbMn2TcBr at its PBEsol-relaxed geometry. The functional is meta-GGA SCAN.

Cell lengths 4.660, 4.660, 5.593 Å; angles 90.00, 90.00, 90.00 degrees
Space group P4/mmm (No. 123)
Inequivalent atoms, fractional coordinates:
1 Rb 0.000 0.000 0.000 [1 per cell]
2 Mn 0.000 0.500 0.500 [2 per cell]
3 Tc 0.500 0.500 0.500 [1 per cell]
4 Br 0.500 0.500 0.000 [1 per cell]

Computed properties:
E_form (uncorrected)   1.92 eV per formula unit
N(E_F)   2.91 states/eV per cell
Raw total energy   -21.970 eV/atom

---

Record 6
This record from Alexandria via LeMat-Bulk describes MnRe2Br at its PBEsol-relaxed geometry. The functional is meta-GGA SCAN.

Cell lengths 2.983, 2.983, 7.095 Å; angles 90.00, 90.00, 90.00 degrees
Space group P4mm (No. 99)
Inequivalent atoms, fractional coordinates:
1 Mn 0.000 0.000 0.000 [1 per cell]
2 Re 0.000 0.000 0.456 [1 per cell]
3 Re 0.500 0.500 0.248 [1 per cell]
4 Br 0.500 0.500 0.751 [1 per cell]

Computed properties:
E_form (uncorrected)   1.62 eV per formula unit
N(E_F)   1.69 states/eV per cell
Raw total energy   -44.572 eV/atom

---

Record 7
This record from Alexandria via LeMat-Bulk describes Mn2ReBr at its PBEsol-relaxed geometry. The functional is meta-GGA SCAN.

Cell lengths 2.963, 2.963, 6.850 Å; angles 90.00, 90.00, 90.00 degrees
Space group P4mm (No. 99)
Inequivalent atoms, fractional coordinates:
1 Mn 0.000 0.000 0.000 [1 per cell]
2 Mn 0.500 0.500 0.232 [1 per cell]
3 Re 0.000 0.000 0.413 [1 per cell]
4 Br 0.500 0.500 0.739 [1 per cell]

Computed properties:
E_form (uncorrected)   1.71 eV per formula unit
N(E_F)   2.13 states/eV per cell
Raw total energy   -31.338 eV/atom

---

Record 8
This record from Alexandria via LeMat-Bulk describes Mn3ReBr at its PBEsol-relaxed geometry. The functional is meta-GGA SCAN.

Cell lengths 4.303, 4.303, 4.303 Å; angles 90.00, 90.00, 90.00 degrees
Space group Pm-3m (No. 221)
Inequivalent atoms, fractional coordinates:
1 Mn 0.000 0.000 0.500 [3 per cell]
2 Re 0.500 0.500 0.500 [1 per cell]
3 Br 0.000 0.000 0.000 [1 per cell]

Computed properties:
E_form (uncorrected)   7.16 eV per formula unit
N(E_F)   3.60 states/eV per cell
Raw total energy   -27.632 eV/atom